Material: Y2BiN
Method: DFT, PBE-GGA
State: optimized geometry

Results
Energy above the lowest structure with this stoichiometry   64 kJ/mol of formula units
Formation energy (no corrections)   -1102 meV/atom

abc: 3.6196 3.6196 22.9820
angles: 90.00 90.00 120.00
Space group R-3m (No. 166, hexagonal axes)
One atom of each set of equivalent atoms:
Y 0.0000 0.0000 0.2222
Bi 0.0000 0.0000 0.0000
N 0.0000 0.0000 0.5000


Material: Pm3NdSe4
Method: DFT, PBE-GGA
State: optimized geometry

Results
Formation energy (no corrections)   -1826 meV/atom

abc: 5.949 5.949 5.949
angles: 90.00 90.00 90.00
Space group Pm-3m (No. 221)
One atom of each set of equivalent atoms:
Pm 0.000 0.000 0.500
Nd 0.500 0.500 0.500
Se 0.000 0.000 0.000
Se 0.000 0.500 0.500